Entry 1:
Here is crystalline EuPuAs2 at its relaxed geometry from the Alexandria database. Energies are from PBE-GGA.

The calculation puts the formation energy from the elements at -1.08 eV per atom. Its calculated volume is 320.19 Å³/cell. The value obtained for the density of states at the Fermi level is 69.9 states/eV per cell. The value obtained for the energy above the lowest structure with this stoichiometry is 0.0 meV per atom.

The structure belongs to space group R-3m (No. 166, hexagonal axes); the cell edges are 4.2212, 4.2212 and 20.7499 Å and the angles 90.00°, 90.00° and 120.00°. The asymmetric unit holds Eu at (0.0000, 0.0000, 0.0000), Pu at (0.0000, 0.0000, 0.5000) and As at (0.0000, 0.0000, 0.2430).

---

Entry 2:
Here is crystalline Eu2PuAs at its relaxed geometry from the Alexandria database. Energies are from PBE-GGA.

The calculation puts the formation energy from the elements at -0.26 eV per atom. Its calculated volume is 423.48 Å³/cell. The value obtained for the density of states at the Fermi level is 71.9 states/eV per cell.

The structure belongs to space group R-3m (No. 166, hexagonal axes); the cell edges are 4.0041, 4.0041 and 30.4990 Å and the angles 90.00°, 90.00° and 120.00°. The asymmetric unit holds Eu at (0.0000, 0.0000, 0.2256), Pu at (0.0000, 0.0000, 0.0000) and As at (0.0000, 0.0000, 0.5000).

---

Entry 3:
Here is crystalline RbEuAs at its relaxed geometry from the Alexandria database. Energies are from PBE-GGA.

The calculation puts the formation energy from the elements at -0.56 eV per atom. Its calculated volume is 135.55 Å³/cell. The value obtained for the density of states at the Fermi level is 14.3 states/eV per cell.

The structure belongs to space group P3m1 (No. 156); the cell edges are 4.9228, 4.9228 and 6.4586 Å and the angles 90.00°, 90.00° and 120.00°. The asymmetric unit holds Rb at (0.0000, 0.0000, 0.0000), Eu at (0.6667, 0.3333, 0.4617) and As at (0.3333, 0.6667, 0.3359).

---

Entry 4:
Here is crystalline RbEu2As at its relaxed geometry from the Alexandria database. Energies are from PBE-GGA.

The calculation puts the formation energy from the elements at -0.57 eV per atom. Its calculated volume is 601.68 Å³/cell. The value obtained for the density of states at the Fermi level is 67.6 states/eV per cell.

The structure belongs to space group R-3m (No. 166, hexagonal axes); the cell edges are 4.4167, 4.4167 and 35.6162 Å and the angles 90.00°, 90.00° and 120.00°. The asymmetric unit holds Rb at (0.0000, 0.0000, 0.0000), Eu at (0.0000, 0.0000, 0.1219) and As at (0.0000, 0.0000, 0.5000).

---

Entry 5:
Here is crystalline RbEuAs at its relaxed geometry from the Alexandria database. Energies are from PBE-GGA.

The calculation puts the formation energy from the elements at -0.57 eV per atom. Its calculated volume is 236.97 Å³/cell. The value obtained for the density of states at the Fermi level is 20.0 states/eV per cell.

The structure belongs to space group I4mm (No. 107); the cell edges are 4.2022, 4.2022 and 13.4195 Å and the angles 90.00°, 90.00° and 90.00°. The asymmetric unit holds Rb at (0.0000, 0.0000, 0.0000), Eu at (0.0000, 0.0000, 0.2549) and As at (0.0000, 0.0000, 0.7117).

---

Entry 6:
Here is crystalline EuAs2Rh2 at its relaxed geometry from the Alexandria database. Energies are from PBE-GGA.

The calculation puts the formation energy from the elements at -0.82 eV per atom. Its calculated volume is 192.97 Å³/cell. The value obtained for the density of states at the Fermi level is 5.8 states/eV per cell.

The structure belongs to space group I4/mmm (No. 139); the cell edges are 4.0680, 4.0680 and 11.6608 Å and the angles 90.00°, 90.00° and 90.00°. The asymmetric unit holds Eu at (0.0000, 0.0000, 0.0000), As at (0.0000, 0.0000, 0.3712) and Rh at (0.0000, 0.5000, 0.2500).